Entry 1
Zr2TiH: optimized geometry, PBE.

Cell: 3.1144 3.1144 8.8910 Å, 79.91 79.91 60.00°
Last column: nearest neighbours and their distance in Å.
Atoms (fractional coordinates):
H 0.0000 0.0000 0.0000  2 Zr 1.87
Zr 0.0717 0.0717 0.7850  1 H 1.87
Zr 0.9283 0.9283 0.2150  1 H 1.87
Ti 0.5000 0.5000 0.5000  6 Zr 3.06, 6 Ti 3.11

Total magnetization = 0.0 Bohr magnetons per cell
D(E_F) = 6.52 states/eV/f.u.

Entry 2
Zr2TiH: optimized geometry, PBE.

Cell: 4.6047 4.6047 4.6047 Å, 60.00 60.00 60.00°
Last column: nearest neighbours and their distance in Å.
Atoms (fractional coordinates):
H 0.0000 0.0000 0.0000  8 Zr 2.82
Zr 0.2500 0.2500 0.2500  4 H 2.82, 4 Ti 2.82
Zr 0.7500 0.7500 0.7500  4 Ti 2.82, 4 H 2.82
Ti 0.5000 0.5000 0.5000  8 Zr 2.82

Total magnetization = 0.0 Bohr magnetons per cell
D(E_F) = 5.23 states/eV/f.u.

Entry 3
Zr2TiH: optimized geometry, PBE.

Cell: 6.6517 6.6517 5.6031 Å, 53.59 53.59 90.00°
Last column: nearest neighbours and their distance in Å.
Atoms (fractional coordinates):
H 0.5000 0.5000 0.0000  4 Zr 2.12
H 0.2500 0.7500 0.5000  4 Zr 2.12
Zr 0.5350 0.1250 0.2500  2 H 2.12
Zr 0.2150 0.6250 0.2500  2 H 2.12
Zr 0.3750 0.4650 0.7500  2 H 2.12
Zr 0.8750 0.7850 0.7500  2 H 2.12
Ti 0.0000 0.0000 0.0000  8 Zr 2.91-3.02, 2 H 3.05
Ti 0.7500 0.2500 0.5000  8 Zr 2.91-3.02, 2 H 3.05

Total magnetization = 1.1 Bohr magnetons per cell
D(E_F) = 4.18 states/eV/f.u.

Ordering by calculated energy gives the sequence entry 3, entry 1, entry 2, with the first entry being the most stable.

Entry 1
ZrTi3H: optimized geometry, PBE.

Cell: 4.8881 4.8881 4.8881 Å, 90.00 90.00 90.00°
Last column: nearest neighbours and their distance in Å.
Atoms (fractional coordinates):
H 0.5000 0.5000 0.5000  12 Ti 3.46
Zr 0.0000 0.0000 0.0000  6 Ti 2.44
Ti 0.0000 0.5000 0.0000  2 Zr 2.44
Ti 0.0000 0.0000 0.5000  2 Zr 2.44
Ti 0.5000 0.0000 0.0000  2 Zr 2.44

Total magnetization = 2.7 Bohr magnetons per cell
D(E_F) = 8.32 states/eV/f.u.

Entry 2
ZrTi3H: optimized geometry, PBE.

Cell: 4.2322 4.2322 4.2322 Å, 90.00 90.00 90.00°
Last column: nearest neighbours and their distance in Å.
Atoms (fractional coordinates):
H 0.0000 0.0000 0.0000  6 Ti 2.12
Zr 0.5000 0.5000 0.5000  12 Ti 2.99
Ti 0.0000 0.5000 0.0000  2 H 2.12
Ti 0.0000 0.0000 0.5000  2 H 2.12
Ti 0.5000 0.0000 0.0000  2 H 2.12

Total magnetization = 0.0 Bohr magnetons per cell
D(E_F) = 8.48 states/eV/f.u.

Ordering by calculated energy gives the sequence entry 2, entry 1, with the first entry being the most stable.